Record 1
Density functional theory data (PBE-GGA) for a geometry-optimized HfSc2BePb structure.

Calculated values
For the uncorrected energy, the calculation gives -24.04 eV/cell.

Cell lengths 5.3147, 5.3147, 5.3794 Å; angles 90.00, 90.00, 90.00 degrees
With the nearest neighbours (Å) after each atom.
Fractional positions:
Hf 0.0000 0.0000 0.0000  2 Pb 2.69
Sc 0.0000 0.5000 0.5000  2 Pb 2.66
Sc 0.5000 0.0000 0.5000  2 Pb 2.66
Be 0.5000 0.5000 0.0000  4 Hf 3.76, 8 Sc 3.78
Pb 0.0000 0.0000 0.5000  4 Sc 2.66, 2 Hf 2.69

---

Record 2
Density functional theory data (PBE-GGA) for a geometry-optimized HfBe2TcPb structure.

Calculated values
For the uncorrected energy, the calculation gives -27.41 eV/cell.

Cell lengths 4.2751, 4.2751, 5.1104 Å; angles 90.00, 90.00, 90.00 degrees
With the nearest neighbours (Å) after each atom.
Fractional positions:
Hf 0.0000 0.0000 0.0000  4 Pb 3.02, 8 Be 3.33
Be 0.0000 0.5000 0.5000  2 Tc 2.14
Be 0.5000 0.0000 0.5000  2 Tc 2.14
Tc 0.5000 0.5000 0.5000  4 Be 2.14
Pb 0.5000 0.5000 0.0000  2 Tc 2.56